# 1
Material: ErZrAsO
Method: DFT, GGA-PBE
State: relaxed

For the raw total energy, the calculation gives -7.4313 eV/atom. For the polymorph energy (0 for the lowest one), the calculation gives 0.199 eV per atom.

It has space group Pmc2_1 (No. 26), with a = 3.923 Å, b = 7.521 Å, c = 5.715 Å, α = 90.00°, β = 90.00° and γ = 90.00°. Symmetry generates all atoms from Er at (0.000, 0.225, 0.000), Zr at (0.500, 0.390, 0.540), As at (0.000, 0.151, 0.494) and O at (0.500, 0.339, 0.917).



# 2
Material: Pt
Method: DFT, GGA-PBE
State: relaxed

The energy of formation from the pure elements comes out at 463 meV per atom. For the raw total energy, the calculation gives -5.5929 eV/atom. For the polymorph energy (0 for the lowest one), the calculation gives 0.463 eV per atom.

It has space group R-3m (No. 166, hexagonal axes), with a = 3.7774 Å, b = 3.7774 Å, c = 4.3056 Å, α = 90.00°, β = 90.00° and γ = 120.00°. Symmetry generates all atoms from Pt at (0.0000, 0.0000, 0.0000).